DFT (PBE) results for a geometry-optimized Ho2Tm5Mg3 structure.

Unit cell a=10.4057 b=10.4057 c=10.4057 alpha=105.69 beta=85.38 gamma=144.10
Fractional positions:
Ho: 0.1954 0.1373 0.3327
Ho: 0.3046 0.6373 0.9419
Ho: 0.6954 0.3627 0.0581
Ho: 0.8046 0.8627 0.6673
Tm: 0.1625 0.4124 0.5749
Tm: 0.2500 0.2500 0.0000
Tm: 0.2500 0.5075 0.2575
Tm: 0.2500 0.9925 0.7425
Tm: 0.3375 0.9124 0.2500
Tm: 0.6625 0.0876 0.7500
Tm: 0.7500 0.0075 0.2575
Tm: 0.7500 0.4925 0.7425
Tm: 0.7500 0.7500 0.0000
Tm: 0.8375 0.5876 0.4251
Mg: 0.1475 0.8562 0.0037
Mg: 0.2500 0.7500 0.5000
Mg: 0.3525 0.3562 0.7087
Mg: 0.6475 0.6438 0.2913
Mg: 0.7500 0.2500 0.5000
Mg: 0.8525 0.1438 0.9963

Results
ΔE_f in kJ per mole of atoms: 29
D(E_F) in states/eV/atom: 1.56
Total magnetic moment in μB per atom: 0.000

DFT (PBE) results for a geometry-optimized HoTm4Mg2 structure.

Unit cell a=8.5458 b=8.5458 c=8.5458 alpha=36.65 beta=36.65 gamma=36.65
Fractional positions:
Ho: 0.0000 0.0000 0.0000
Tm: 0.2912 0.2912 0.2912
Tm: 0.4307 0.4307 0.4307
Tm: 0.5693 0.5693 0.5693
Tm: 0.7088 0.7088 0.7088
Mg: 0.1482 0.1482 0.1482
Mg: 0.8518 0.8518 0.8518

Results
ΔE_f in kJ per mole of atoms: 7
D(E_F) in states/eV/atom: 1.38
Total magnetic moment in μB per atom: 0.000